(1)
NaEuYSbO6 (PBE, optimized geometry); formation energy (no corrections) = -2.232 eV per atom; DOS at the Fermi energy = 12.96 states/eV/f.u.
1.0
0.000 4.175 4.175
4.175 0.000 4.175
4.175 4.175 0.000
Sb O Eu Na Y
1 6 1 1 1
Direct
0.000 0.000 0.000
0.763 0.237 0.237
0.237 0.237 0.763
0.237 0.763 0.237
0.763 0.763 0.237
0.237 0.763 0.763
0.763 0.237 0.763
0.250 0.250 0.250
0.750 0.750 0.750
0.500 0.500 0.500


(2)
AlOsW2 (PBE, optimized geometry); formation energy = -148 meV per atom; DOS at the Fermi energy = 1.51 states/eV/f.u.
1.0
5.204 -0.004 0.001
4.260 2.989 0.001
1.768 0.557 3.869
W Al Os
2 1 1
Direct
0.502 0.502 0.498
0.998 0.998 0.002
0.750 0.750 0.750
0.250 0.250 0.250


(3)
KBr8 (PBE, optimized geometry); formation energy (no corrections) = 0.012 eV per atom; DOS at the Fermi energy = 7.37 states/eV/f.u.
1.0
-6.770 6.770 2.077
6.770 -6.770 2.077
6.770 6.770 -2.077
Br K
8 1
Direct
0.352 0.648 0.000
0.648 0.648 0.296
0.648 0.352 0.000
0.352 0.352 0.704
0.775 0.000 0.775
0.225 0.000 0.225
0.000 0.775 0.775
0.000 0.225 0.225
0.000 0.000 0.000


For the records above, the corresponding calculated total energy values read -7.4252, -10.3677, -1.5970 eV/atom.
For the records above, the corresponding total moment values read 0.5976, 0.0000, 0.0000 μB per atom.